# Y2CdCu

Y2CdCu after structural relaxation (PBE, the Alexandria database).

Unit cell a=3.6448 b=3.6448 c=7.3140 alpha=90.00 beta=90.00 gamma=90.00
Space group P4mm (No. 99)
One atom of each set of equivalent atoms:
Y: 0.0000 0.0000 0.0000 x1
Y: 0.5000 0.5000 0.3311 x1
Cd: 0.0000 0.0000 0.5829 x1
Cu: 0.5000 0.5000 0.7816 x1

Formation enthalpy at 0 K (meV per atom): -114